AcMg2Cu9: relaxed, GGA-PBE.

a = 8.578 Å, b = 8.578 Å, c = 5.043 Å
α = 90.00°, β = 90.00°, γ = 90.00°
Fractional coordinates of all 24 atoms:
Ac: 0.000 0.000 0.000
Ac: 0.500 0.500 0.000
Mg: 0.118 0.382 0.000
Mg: 0.382 0.882 0.000
Mg: 0.618 0.118 0.000
Mg: 0.882 0.618 0.000
Cu: 0.000 0.500 0.500
Cu: 0.067 0.215 0.500
Cu: 0.178 0.678 0.247
Cu: 0.178 0.678 0.753
Cu: 0.215 0.933 0.500
Cu: 0.285 0.433 0.500
Cu: 0.322 0.178 0.247
Cu: 0.322 0.178 0.753
Cu: 0.433 0.715 0.500
Cu: 0.500 0.000 0.500
Cu: 0.567 0.285 0.500
Cu: 0.678 0.822 0.247
Cu: 0.678 0.822 0.753
Cu: 0.715 0.567 0.500
Cu: 0.785 0.067 0.500
Cu: 0.822 0.322 0.247
Cu: 0.822 0.322 0.753
Cu: 0.933 0.785 0.500

Properties
**Space-group type**: P4/mbm (127)
**D(E_F)**: 12.56 states/eV per cell
**Formation energy from the elements**: -0.141 eV per atom